Record 1
A relaxed Nd2SmTm9 crystal. Source: Alexandria via LeMat-Bulk, functional GGA-PBE.

a b c (Å): 11.1695 11.1695 3.4936
angles (deg): 90.00 90.00 120.00
Fractional coordinates of all 12 atoms:
1 Nd 0.3333 0.6667 0.0000
2 Nd 0.6667 0.3333 0.0000
3 Sm 0.0000 0.0000 0.0000
4 Tm 0.0000 0.5000 0.0000
5 Tm 0.1755 0.3511 0.5000
6 Tm 0.1755 0.8245 0.5000
7 Tm 0.3511 0.1755 0.5000
8 Tm 0.5000 0.0000 0.0000
9 Tm 0.5000 0.5000 0.0000
10 Tm 0.6489 0.8245 0.5000
11 Tm 0.8245 0.1755 0.5000
12 Tm 0.8245 0.6489 0.5000

Output
Energy of formation in eV per atom: 0.07
Raw total energy in eV/atom: -4.473
DOS(E_F) in states/eV per cell: 18.84

Record 2
A relaxed In2AgSe crystal. Source: Alexandria via LeMat-Bulk, functional GGA-PBE.

a b c (Å): 6.0823 8.1272 3.9673
angles (deg): 90.00 100.47 90.00
Fractional coordinates of all 8 atoms:
1 In 0.2500 0.2500 0.0000
2 In 0.2500 0.7500 0.0000
3 In 0.7500 0.2500 0.0000
4 In 0.7500 0.7500 0.0000
5 Ag 0.0000 0.0000 0.5000
6 Ag 0.5000 0.5000 0.5000
7 Se 0.0000 0.5000 0.5000
8 Se 0.5000 0.0000 0.5000

Output
Formation energy from raw total energies in meV per atom: -36
Raw total energy in eV/atom: -2.989
DOS(E_F) in states/eV per cell: 2.71

Record 3
A relaxed ZnCu3F7 crystal. Source: Alexandria via LeMat-Bulk, functional GGA-PBE.

a b c (Å): 5.5929 5.5929 5.5929
angles (deg): 102.66 102.66 102.66
Fractional coordinates of all 11 atoms:
1 Zn 0.0000 0.0000 0.0000
2 Cu 0.4487 0.4487 0.8259
3 Cu 0.4487 0.8259 0.4487
4 Cu 0.8259 0.4487 0.4487
5 F 0.1608 0.1608 0.7900
6 F 0.1608 0.7900 0.1608
7 F 0.2017 0.5726 0.5726
8 F 0.5726 0.2017 0.5726
9 F 0.5726 0.5726 0.2017
10 F 0.7152 0.7152 0.7152
11 F 0.7900 0.1608 0.1608

Output
Formation energy from raw total energies in meV per atom: -1587
Raw total energy in eV/atom: -4.010
DOS(E_F) in states/eV per cell: 7.09

Record 4
A relaxed SrTaFe crystal. Source: Alexandria via LeMat-Bulk, functional GGA-PBE.

a b c (Å): 6.4375 6.4375 6.4375
angles (deg): 90.00 90.00 90.00
Fractional coordinates of all 12 atoms:
1 Sr 0.0000 0.0000 0.0000
2 Sr 0.0000 0.5000 0.5000
3 Sr 0.5000 0.0000 0.5000
4 Sr 0.5000 0.5000 0.0000
5 Ta 0.0000 0.0000 0.5000
6 Ta 0.0000 0.5000 0.0000
7 Ta 0.5000 0.0000 0.0000
8 Ta 0.5000 0.5000 0.5000
9 Fe 0.2500 0.2500 0.7500
10 Fe 0.2500 0.7500 0.2500
11 Fe 0.7500 0.2500 0.2500
12 Fe 0.7500 0.7500 0.7500

Output
Energy of formation in eV per atom: 1.16
Raw total energy in eV/atom: -6.177
DOS(E_F) in states/eV per cell: 13.77

Record 5
A relaxed TeAsOsSe2 crystal. Source: Alexandria via LeMat-Bulk, functional GGA-PBE.

a b c (Å): 4.9718 4.9718 4.7420
angles (deg): 90.00 90.00 90.00
Fractional coordinates of all 5 atoms:
1 Te 0.0000 0.0000 0.0000
2 As 0.5000 0.5000 0.0000
3 Os 0.5000 0.5000 0.5000
4 Se 0.0000 0.5000 0.5000
5 Se 0.5000 0.0000 0.5000

Output
Formation energy from raw total energies in meV per atom: 561
Raw total energy in eV/atom: -4.637
DOS(E_F) in states/eV per cell: 5.44

Record 6
A relaxed Dy3CdBi crystal. Source: Alexandria via LeMat-Bulk, functional GGA-PBE.

a b c (Å): 4.1071 6.6153 11.1698
angles (deg): 90.00 90.00 90.00
Fractional coordinates of all 10 atoms:
1 Dy 0.2500 0.0018 0.1982
2 Dy 0.2500 0.2500 0.5818
3 Dy 0.2500 0.4982 0.1982
4 Dy 0.7500 0.5018 0.8018
5 Dy 0.7500 0.7500 0.4182
6 Dy 0.7500 0.9982 0.8018
7 Cd 0.2500 0.2500 0.9577
8 Cd 0.7500 0.7500 0.0423
9 Bi 0.2500 0.7500 0.6343
10 Bi 0.7500 0.2500 0.3657

Output
Energy of formation in eV per atom: -0.32
Raw total energy in eV/atom: -4.036
DOS(E_F) in states/eV per cell: 8.62

Record 7
A relaxed GaBPd5 crystal. Source: Alexandria via LeMat-Bulk, functional GGA-PBE.

a b c (Å): 6.7005 6.7005 6.7005
angles (deg): 116.56 108.84 103.29
Fractional coordinates of all 14 atoms:
1 Ga 0.3497 0.0997 0.2500
2 Ga 0.6503 0.9003 0.7500
3 B 0.0000 0.5000 0.5000
4 B 0.5000 0.5000 0.0000
5 Pd 0.0000 0.2067 0.2067
6 Pd 0.0000 0.7933 0.7933
7 Pd 0.1575 0.7352 0.4223
8 Pd 0.1871 0.2648 0.9223
9 Pd 0.3427 0.5927 0.7500
10 Pd 0.5000 0.2067 0.7067
11 Pd 0.5000 0.7933 0.2933
12 Pd 0.6573 0.4073 0.2500
13 Pd 0.8129 0.7352 0.0777
14 Pd 0.8425 0.2648 0.5777

Output
Energy of formation in eV per atom: -0.19
Raw total energy in eV/atom: -5.284
DOS(E_F) in states/eV per cell: 4.57

Record 8
A relaxed TiVAu2 crystal. Source: Alexandria via LeMat-Bulk, functional GGA-PBE.

a b c (Å): 6.4915 6.4915 6.4915
angles (deg): 90.00 90.00 90.00
Fractional coordinates of all 16 atoms:
1 Ti 0.0000 0.0000 0.0000
2 Ti 0.0000 0.5000 0.5000
3 Ti 0.5000 0.0000 0.5000
4 Ti 0.5000 0.5000 0.0000
5 V 0.0000 0.0000 0.5000
6 V 0.0000 0.5000 0.0000
7 V 0.5000 0.0000 0.0000
8 V 0.5000 0.5000 0.5000
9 Au 0.2500 0.2500 0.2500
10 Au 0.2500 0.2500 0.7500
11 Au 0.2500 0.7500 0.2500
12 Au 0.2500 0.7500 0.7500
13 Au 0.7500 0.2500 0.2500
14 Au 0.7500 0.2500 0.7500
15 Au 0.7500 0.7500 0.2500
16 Au 0.7500 0.7500 0.7500

Output
Energy of formation in eV per atom: -0.10
Raw total energy in eV/atom: -5.995
DOS(E_F) in states/eV per cell: 20.76

Record 9
A relaxed LaZn3Cl crystal. Source: Alexandria via LeMat-Bulk, functional GGA-PBE.

a b c (Å): 5.1338 5.1338 5.1338
angles (deg): 90.00 90.00 90.00
Fractional coordinates of all 5 atoms:
1 La 0.0000 0.0000 0.0000
2 Zn 0.0000 0.5000 0.5000
3 Zn 0.5000 0.0000 0.5000
4 Zn 0.5000 0.5000 0.0000
5 Cl 0.5000 0.5000 0.5000

Output
Formation energy from raw total energies in meV per atom: 246
Raw total energy in eV/atom: -1.873
DOS(E_F) in states/eV per cell: 4.87

Record 10
A relaxed LaPmPr3 crystal. Source: Alexandria via LeMat-Bulk, functional GGA-PBE.

a b c (Å): 8.2073 8.2073 6.4652
angles (deg): 90.00 90.00 119.51
Fractional coordinates of all 10 atoms:
1 La 0.2007 0.7993 0.7500
2 La 0.7993 0.2007 0.2500
3 Pm 0.3363 0.6637 0.2500
4 Pm 0.6637 0.3363 0.7500
5 Pr 0.0000 0.0000 0.0000
6 Pr 0.0000 0.0000 0.5000
7 Pr 0.2034 0.4005 0.7500
8 Pr 0.4005 0.2034 0.2500
9 Pr 0.5995 0.7966 0.7500
10 Pr 0.7966 0.5995 0.2500

Output
Energy of formation in eV per atom: 0.29
Raw total energy in eV/atom: -4.513
DOS(E_F) in states/eV per cell: 10.52

Record 11
A relaxed Ce9In2Pb crystal. Source: Alexandria via LeMat-Bulk, functional GGA-PBE.

a b c (Å): 4.8153 4.8153 14.4323
angles (deg): 90.00 90.00 90.00
Fractional coordinates of all 12 atoms:
1 Ce 0.0000 0.0000 0.0000
2 Ce 0.0000 0.0000 0.3370
3 Ce 0.0000 0.0000 0.6630
4 Ce 0.0000 0.5000 0.1681
5 Ce 0.0000 0.5000 0.5000
6 Ce 0.0000 0.5000 0.8319
7 Ce 0.5000 0.0000 0.1681
8 Ce 0.5000 0.0000 0.5000
9 Ce 0.5000 0.0000 0.8319
10 In 0.5000 0.5000 0.3339
11 In 0.5000 0.5000 0.6661
12 Pb 0.5000 0.5000 0.0000

Output
Energy of formation in eV per atom: -0.22
Raw total energy in eV/atom: -5.435
DOS(E_F) in states/eV per cell: 37.84

Record 12
A relaxed Tm2Sn3Pd4 crystal. Source: Alexandria via LeMat-Bulk, functional GGA-PBE.

a b c (Å): 4.8430 4.8436 8.8455
angles (deg): 89.85 89.90 60.05
Fractional coordinates of all 9 atoms:
1 Tm 0.1652 0.1661 0.2156
2 Tm 0.8348 0.8339 0.7844
3 Sn 0.1679 0.1677 0.5822
4 Sn 0.5000 0.5000 0.0000
5 Sn 0.8321 0.8323 0.4178
6 Pd 0.1685 0.1666 0.8937
7 Pd 0.4984 0.4988 0.3368
8 Pd 0.5016 0.5012 0.6632
9 Pd 0.8315 0.8334 0.1063

Output
Energy of formation in eV per atom: -0.73
Raw total energy in eV/atom: -5.362
DOS(E_F) in states/eV per cell: 2.72

- Look up the DOS(E_F) of the twelfth one.
  2.72 states/eV per cell

- What is the DOS(E_F) in the third record?
  7.09 states/eV per cell